# KV13O20, PBEsol geometry, DFT SCAN
# M_tot ... 13.760 μB/cell
# DOS(E_F) ... 9.71 states/eV/f.u.
# Electronic total energy ... -13.06 eV/atom
# ΔE_f (raw) ... -56.73 kcal/mol of atoms
data_KV13O20
_space_group_name_H-M_alt 'P -1'
_space_group_IT_number 2
_cell_length_a 7.2395
_cell_length_b 8.0938
_cell_length_c 11.9847
_cell_angle_alpha 94.47
_cell_angle_beta 102.52
_cell_angle_gamma 91.02
loop_
_space_group_symop_operation_xyz
'x,y,z'
'-x,-y,-z'
loop_
_atom_site_label
_atom_site_type_symbol
_atom_site_fract_x
_atom_site_fract_y
_atom_site_fract_z
_atom_site_occupancy
K1 K 0.0017 0.3024 0.3067 1
V1 V 0.1506 0.6612 0.1695 1
V2 V 0.1554 0.2842 0.7696 1
V3 V 0.1574 0.0596 0.5605 1
V4 V 0.1588 0.4578 0.9494 1
V5 V 0.1645 0.8827 0.3653 1
V6 V 0.1955 0.2150 0.0855 1
V7 V 0.2060 0.0107 0.8703 1
V8 V 0.2351 0.6290 0.4767 1
V9 V 0.4449 0.8002 0.0074 1
V10 V 0.4561 0.4220 0.6120 1
V11 V 0.4625 0.0212 0.2096 1
V12 V 0.4637 0.2242 0.3935 1
V13 V 0.4694 0.6231 0.7861 1
O1 O 0.0715 0.2189 0.9125 1
O2 O 0.0724 0.4290 0.1031 1
O3 O 0.0760 0.8237 0.5040 1
O4 O 0.0791 0.0401 0.7120 1
O5 O 0.0817 0.6356 0.3184 1
O6 O 0.2610 0.6743 0.0334 1
O7 O 0.2627 0.2863 0.6315 1
O8 O 0.2643 0.0937 0.4300 1
O9 O 0.2653 0.8837 0.2265 1
O10 O 0.2726 0.4945 0.8264 1
O11 O 0.3100 0.6268 0.6358 1
O12 O 0.3133 0.2244 0.2417 1
O13 O 0.3418 0.0246 0.0353 1
O14 O 0.3422 0.4257 0.4410 1
O15 O 0.3455 0.8192 0.8395 1
O16 O 0.3885 0.5629 0.2437 1
O17 O 0.3916 0.3574 0.0448 1
O18 O 0.3942 0.9613 0.6409 1
O19 O 0.3952 0.1711 0.8417 1
O20 O 0.4101 0.7774 0.4402 1



# PtRhBr2, PBEsol geometry, DFT SCAN
# M_tot ... 0.005 μB/cell
# DOS(E_F) ... 3.77 states/eV/f.u.
# Electronic total energy ... -35.33 eV/atom
# ΔE_f (raw) ... 8.92 kcal/mol of atoms
data_PtRhBr2
_space_group_name_H-M_alt 'P 4 m m'
_space_group_IT_number 99
_cell_length_a 3.1439
_cell_length_b 3.1439
_cell_length_c 7.7822
_cell_angle_alpha 90.00
_cell_angle_beta 90.00
_cell_angle_gamma 90.00
loop_
_space_group_symop_operation_xyz
'x,y,z'
'-y,x,z'
'-x,-y,z'
'y,-x,z'
'-x,y,z'
'y,x,z'
'x,-y,z'
'-y,-x,z'
loop_
_atom_site_label
_atom_site_type_symbol
_atom_site_fract_x
_atom_site_fract_y
_atom_site_fract_z
_atom_site_occupancy
Pt1 Pt 0.0000 0.0000 0.0000 1
Rh1 Rh 0.5000 0.5000 0.1963 1
Br1 Br 0.0000 0.0000 0.3937 1
Br2 Br 0.5000 0.5000 0.7813 1



# LiYSi2, PBEsol geometry, DFT SCAN
# M_tot ... 0.003 μB/cell
# DOS(E_F) ... 2.14 states/eV/f.u.
# Electronic total energy ... -12.96 eV/atom
# ΔE_f (raw) ... -9.13 kcal/mol of atoms
data_LiYSi2
_space_group_name_H-M_alt 'I m m 2'
_space_group_IT_number 44
_cell_length_a 3.6564
_cell_length_b 4.1185
_cell_length_c 9.8784
_cell_angle_alpha 90.00
_cell_angle_beta 90.00
_cell_angle_gamma 90.00
loop_
_space_group_symop_operation_xyz
'x,y,z'
'-x,-y,z'
'-x,y,z'
'x,-y,z'
'x+1/2,y+1/2,z+1/2'
'-x+1/2,-y+1/2,z+1/2'
'-x+1/2,y+1/2,z+1/2'
'x+1/2,-y+1/2,z+1/2'
loop_
_atom_site_label
_atom_site_type_symbol
_atom_site_fract_x
_atom_site_fract_y
_atom_site_fract_z
_atom_site_occupancy
Li1 Li 0.0000 0.0000 0.0000 1
Y1 Y 0.0000 0.5000 0.2458 1
Si1 Si 0.0000 0.0000 0.4952 1
Si2 Si 0.0000 0.5000 0.8387 1



# SiPBr2, PBEsol geometry, DFT SCAN
# M_tot ... 0.000 μB/cell
# DOS(E_F) ... 1.28 states/eV/f.u.
# Electronic total energy ... -14.11 eV/atom
# ΔE_f (raw) ... 16.69 kcal/mol of atoms
data_SiPBr2
_space_group_name_H-M_alt 'P m m m'
_space_group_IT_number 47
_cell_length_a 3.3134
_cell_length_b 4.3452
_cell_length_c 5.7527
_cell_angle_alpha 90.00
_cell_angle_beta 90.00
_cell_angle_gamma 90.00
loop_
_space_group_symop_operation_xyz
'x,y,z'
'-x,-y,-z'
'-x,-y,z'
'x,y,-z'
'x,-y,-z'
'-x,y,z'
'-x,y,-z'
'x,-y,z'
loop_
_atom_site_label
_atom_site_type_symbol
_atom_site_fract_x
_atom_site_fract_y
_atom_site_fract_z
_atom_site_occupancy
Si1 Si 0.0000 0.0000 0.0000 1
P1 P 0.5000 0.0000 0.5000 1
Br1 Br 0.0000 0.5000 0.5000 1
Br2 Br 0.5000 0.5000 0.0000 1



# LiZrW, PBEsol geometry, DFT SCAN
# E_form ... 0.56 eV per atom
# M_tot ... 0.000 μB/cell
# DOS(E_F) ... 2.73 states/eV/f.u.
# Electronic total energy ... -33.70 eV/atom
data_LiZrW
_space_group_name_H-M_alt 'I 4 m m'
_space_group_IT_number 107
_space_group_name_Hall 'I 4 -2'
_cell_length_a 3.3543
_cell_length_b 3.3543
_cell_length_c 8.7239
_cell_angle_alpha 90.00
_cell_angle_beta 90.00
_cell_angle_gamma 90.00
loop_
_atom_site_label
_atom_site_type_symbol
_atom_site_fract_x
_atom_site_fract_y
_atom_site_fract_z
_atom_site_occupancy
Li1 Li 0.0000 0.0000 0.0000 1
Zr1 Zr 0.0000 0.0000 0.3251 1
W1 W 0.0000 0.0000 0.6500 1



# MnMoN2, PBEsol geometry, DFT SCAN
# M_tot ... 8.331 μB/cell
# DOS(E_F) ... 2.70 states/eV/f.u.
# Electronic total energy ... -18.29 eV/atom
# ΔE_f (raw) ... -8.38 kcal/mol of atoms
data_MnMoN2
_space_group_name_H-M_alt 'I -4 2 d'
_space_group_IT_number 122
_space_group_name_Hall 'I -4 2bw'
_cell_length_a 4.4911
_cell_length_b 4.4911
_cell_length_c 8.6279
_cell_angle_alpha 90.00
_cell_angle_beta 90.00
_cell_angle_gamma 90.00
loop_
_atom_site_label
_atom_site_type_symbol
_atom_site_fract_x
_atom_site_fract_y
_atom_site_fract_z
_atom_site_occupancy
Mn1 Mn 0.0000 0.0000 0.0000 1
Mo1 Mo 0.0000 0.0000 0.5000 1
N1 N 0.2282 0.2500 0.1250 1



What is the M_tot in the fifth record? 0.000 μB/cell



What did the fourth record say?
# SiPBr2, PBEsol geometry, DFT SCAN
# M_tot ... 0.000 μB/cell
# DOS(E_F) ... 1.28 states/eV/f.u.
# Electronic total energy ... -14.11 eV/atom
# ΔE_f (raw) ... 16.69 kcal/mol of atoms
data_SiPBr2
_space_group_name_H-M_alt 'P m m m'
_space_group_IT_number 47
_cell_length_a 3.3134
_cell_length_b 4.3452
_cell_length_c 5.7527
_cell_angle_alpha 90.00
_cell_angle_beta 90.00
_cell_angle_gamma 90.00
loop_
_space_group_symop_operation_xyz
'x,y,z'
'-x,-y,-z'
'-x,-y,z'
'x,y,-z'
'x,-y,-z'
'-x,y,z'
'-x,y,-z'
'x,-y,z'
loop_
_atom_site_label
_atom_site_type_symbol
_atom_site_fract_x
_atom_site_fract_y
_atom_site_fract_z
_atom_site_occupancy
Si1 Si 0.0000 0.0000 0.0000 1
P1 P 0.5000 0.0000 0.5000 1
Br1 Br 0.0000 0.5000 0.5000 1
Br2 Br 0.5000 0.5000 0.0000 1



Which of these has the highest M_tot? KV13O20